# 1
A crystal of Dy3Co6Sn5 relaxed with PBEsol. Source: Alexandria via LeMat-Bulk, functional meta-GGA SCAN.

Summary:
- calculated volume (Å³/cell) = 243
- ΔH_f (0 K) (meV per atom) = -334

POSCAR file:
```
Dy3Co6Sn5
1.0
-2.131 4.710 6.049
2.131 -4.710 6.049
2.131 4.710 -6.049
Dy Co Sn
3 6 5
Direct
0.000 0.000 0.000
0.317 0.317 0.000
0.683 0.683 0.000
0.165 0.893 0.272
0.308 0.500 0.808
0.380 0.107 0.272
0.620 0.893 0.728
0.692 0.500 0.192
0.835 0.107 0.728
0.017 0.676 0.341
0.335 0.676 0.659
0.500 0.000 0.500
0.665 0.324 0.341
0.983 0.324 0.659
```


# 2
A crystal of Dy3Co8Sn4 relaxed with PBEsol. Source: Alexandria via LeMat-Bulk, functional meta-GGA SCAN.

Summary:
- calculated volume (Å³/cell) = 484
- ΔH_f (0 K) (meV per atom) = -268

POSCAR file:
```
Dy3Co8Sn4
1.0
8.731 0.000 0.000
-4.366 7.561 0.000
0.000 0.000 7.330
Dy Co Sn
6 16 8
Direct
0.060 0.530 0.000
0.470 0.530 0.000
0.470 0.940 0.000
0.530 0.060 0.500
0.530 0.470 0.500
0.940 0.470 0.500
0.000 0.000 0.223
0.000 0.000 0.723
0.097 0.195 0.978
0.097 0.903 0.978
0.159 0.318 0.668
0.159 0.841 0.668
0.195 0.097 0.478
0.318 0.159 0.168
0.333 0.667 0.286
0.667 0.333 0.786
0.682 0.841 0.668
0.805 0.903 0.978
0.841 0.159 0.168
0.841 0.682 0.168
0.903 0.097 0.478
0.903 0.805 0.478
0.171 0.342 0.298
0.171 0.829 0.298
0.333 0.667 0.664
0.342 0.171 0.798
0.658 0.829 0.298
0.667 0.333 0.164
0.829 0.171 0.798
0.829 0.658 0.798
```


# 3
A crystal of Dy6CoTe2 relaxed with PBEsol. Source: Alexandria via LeMat-Bulk, functional meta-GGA SCAN.

Summary:
- calculated volume (Å³/cell) = 224
- energy relative to the elements, uncorrected (eV/f.u.) = -6.30

POSCAR file:
```
Dy6CoTe2
1.0
8.212 0.000 0.000
-4.106 7.112 0.000
0.000 0.000 3.836
Dy Co Te
6 1 2
Direct
0.000 0.401 0.000
0.000 0.764 0.500
0.236 0.236 0.500
0.401 0.000 0.000
0.599 0.599 0.000
0.764 0.000 0.500
0.000 0.000 0.000
0.333 0.667 0.500
0.667 0.333 0.500
```


# 4
A crystal of ErCo3 relaxed with PBEsol. Source: Alexandria via LeMat-Bulk, functional meta-GGA SCAN.

Summary:
- calculated volume (Å³/cell) = 162
- ΔH_f (0 K) (meV per atom) = -138

POSCAR file:
```
ErCo3
1.0
2.427 1.401 7.955
-2.427 1.401 7.955
0.000 -2.802 7.955
Er Co
3 9
Direct
0.000 0.000 0.000
0.140 0.140 0.140
0.860 0.860 0.860
0.079 0.583 0.583
0.335 0.335 0.335
0.417 0.417 0.921
0.417 0.921 0.417
0.500 0.500 0.500
0.583 0.079 0.583
0.583 0.583 0.079
0.665 0.665 0.665
0.921 0.417 0.417
```